The following is a DFT calculation (PBE) of crystalline Nd3Ta3Mo2N12 at its relaxed geometry.

POSCAR file:
```
Nd3Ta3Mo2N12
1.0
-6.4963 6.4963 6.4963
6.4963 -6.4963 6.4963
6.4963 6.4963 -6.4963
Nd Ta Mo N
12 12 8 48
direct
0.1250 0.2500 0.3750 Nd
0.1250 0.3750 0.7500 Nd
0.2500 0.3750 0.1250 Nd
0.2500 0.8750 0.6250 Nd
0.3750 0.1250 0.2500 Nd
0.3750 0.7500 0.1250 Nd
0.6250 0.2500 0.8750 Nd
0.6250 0.8750 0.7500 Nd
0.7500 0.1250 0.3750 Nd
0.7500 0.6250 0.8750 Nd
0.8750 0.6250 0.2500 Nd
0.8750 0.7500 0.6250 Nd
0.1250 0.7500 0.8750 Ta
0.1250 0.8750 0.2500 Ta
0.2500 0.1250 0.8750 Ta
0.2500 0.6250 0.3750 Ta
0.3750 0.2500 0.6250 Ta
0.3750 0.6250 0.7500 Ta
0.6250 0.3750 0.2500 Ta
0.6250 0.7500 0.3750 Ta
0.7500 0.3750 0.6250 Ta
0.7500 0.8750 0.1250 Ta
0.8750 0.1250 0.7500 Ta
0.8750 0.2500 0.1250 Ta
0.0000 0.0000 0.0000 Mo
0.0000 0.0000 0.5000 Mo
0.0000 0.5000 0.0000 Mo
0.0000 0.5000 0.5000 Mo
0.5000 0.0000 0.0000 Mo
0.5000 0.0000 0.5000 Mo
0.5000 0.5000 0.0000 Mo
0.5000 0.5000 0.5000 Mo
0.0191 0.1960 0.1141 N
0.0191 0.3231 0.9049 N
0.0818 0.6960 0.6769 N
0.0818 0.8859 0.4049 N
0.0951 0.6141 0.4182 N
0.0951 0.9809 0.6769 N
0.1141 0.0191 0.1960 N
0.1141 0.5951 0.9182 N
0.1769 0.1960 0.5818 N
0.1769 0.4809 0.5951 N
0.1960 0.1141 0.0191 N
0.1960 0.5818 0.1769 N
0.3040 0.3231 0.9182 N
0.3040 0.4809 0.3859 N
0.3231 0.9049 0.0191 N
0.3231 0.9182 0.3040 N
0.3859 0.3040 0.4809 N
0.3859 0.5818 0.9049 N
0.4049 0.0818 0.8859 N
0.4049 0.8231 0.5191 N
0.4182 0.0951 0.6141 N
0.4182 0.8231 0.8040 N
0.4809 0.3859 0.3040 N
0.4809 0.5951 0.1769 N
0.5191 0.4049 0.8231 N
0.5191 0.6141 0.6960 N
0.5818 0.1769 0.1960 N
0.5818 0.9049 0.3859 N
0.5951 0.1769 0.4809 N
0.5951 0.9182 0.1141 N
0.6141 0.4182 0.0951 N
0.6141 0.6960 0.5191 N
0.6769 0.0818 0.6960 N
0.6769 0.0951 0.9809 N
0.6960 0.5191 0.6141 N
0.6960 0.6769 0.0818 N
0.8040 0.4182 0.8231 N
0.8040 0.8859 0.9809 N
0.8231 0.5191 0.4049 N
0.8231 0.8040 0.4182 N
0.8859 0.4049 0.0818 N
0.8859 0.9809 0.8040 N
0.9049 0.0191 0.3231 N
0.9049 0.3859 0.5818 N
0.9182 0.1141 0.5951 N
0.9182 0.3040 0.3231 N
0.9809 0.6769 0.0951 N
0.9809 0.8040 0.8859 N
```

Output
The space group is Ia-3d, No. 230. The final energy comes out at -188.7 eV per formula unit.